A geometry-optimized LiCrSb2 structure, computed with PBE-GGA.

Cell lengths 3.8216, 3.8216, 5.6093 Å; angles 90.00, 90.00, 90.00 degrees
Closest atoms and distances in Å follow each position.
Positions (direct):
Cr (0.0000, 0.0000, 0.4518)  6 Sb 2.77-2.84
Li (0.5000, 0.5000, 0.7904)  6 Sb 2.69-2.92
Sb (0.0000, 0.0000, 0.9462)  2 Cr 2.77-2.84, 4 Li 2.84
Sb (0.5000, 0.5000, 0.3116)  2 Li 2.69-2.92, 4 Cr 2.81

Output
Final energy (eV/atom): -4.90
Theoretical density (kg/m³): 6131
Excess energy over the best structure of this formula in the dataset (meV per atom): 99
Fermi-level density of states (states/eV/f.u.): 2.0
Uncorrected formation energy (kJ per mole of atoms): 4.02

---

A geometry-optimized LiCr2Sb2 structure, computed with PBE-GGA.

Cell lengths 3.4295, 3.4295, 8.6695 Å; angles 78.59, 78.59, 90.00 degrees
Closest atoms and distances in Å follow each position.
Positions (direct):
Sb (0.3756, 0.3756, 0.2488)  4 Cr 2.70
Sb (0.6244, 0.6244, 0.7512)  4 Cr 2.70
Li (0.0000, 0.0000, 0.0000)  8 Sb 3.19, 4 Li 3.43
Cr (0.7500, 0.2500, 0.5000)  4 Cr 2.43, 4 Sb 2.70
Cr (0.2500, 0.7500, 0.5000)  4 Cr 2.43, 4 Sb 2.70

Output
Final energy (eV/atom): -5.78
Theoretical density (kg/m³): 6012
Excess energy over the best structure of this formula in the dataset (meV per atom): 0
Fermi-level density of states (states/eV/f.u.): 2.7
Uncorrected formation energy (kJ per mole of atoms): 10.13

---

A geometry-optimized LiCrSb2 structure, computed with PBE-GGA.

Cell lengths 4.5263, 4.5263, 5.9176 Å; angles 76.63, 76.63, 48.04 degrees
Closest atoms and distances in Å follow each position.
Positions (direct):
Cr (0.7500, 0.7500, 0.7500)  6 Sb 2.78-2.79
Li (0.2500, 0.2500, 0.2500)  6 Sb 2.89-2.98
Sb (0.0088, 0.0088, 0.9727)  3 Cr 2.78-2.79, 3 Li 2.89-2.98
Sb (0.4912, 0.4912, 0.5273)  3 Cr 2.78-2.79, 3 Li 2.89-2.98

Output
Final energy (eV/atom): -5.00
Theoretical density (kg/m³): 5759
Excess energy over the best structure of this formula in the dataset (meV per atom): 0
Fermi-level density of states (states/eV/f.u.): 1.8
Uncorrected formation energy (kJ per mole of atoms): -5.56

---

A geometry-optimized LiCr2Sb structure, computed with PBE-GGA.

Cell lengths 3.6040, 3.6040, 9.7263 Å; angles 79.32, 79.32, 90.00 degrees
Closest atoms and distances in Å follow each position.
Positions (direct):
Sb (0.0000, 0.0000, 0.0000)  4 Li 2.55, 4 Cr 2.74
Sb (0.7500, 0.2500, 0.5000)  4 Li 2.55, 4 Cr 2.74
Li (0.5000, 0.5000, 0.0000)  4 Sb 2.55, 4 Cr 2.61
Li (0.2500, 0.7500, 0.5000)  4 Sb 2.55, 4 Cr 2.61
Cr (0.5725, 0.1250, 0.2500)  2 Cr 2.30
Cr (0.1775, 0.6250, 0.2500)  2 Cr 2.30
Cr (0.3750, 0.4275, 0.7500)  2 Cr 2.30
Cr (0.8750, 0.8225, 0.7500)  2 Cr 2.30

Output
Final energy (eV/atom): -5.69
Theoretical density (kg/m³): 6338
Fermi-level density of states (states/eV/f.u.): 5.0
Uncorrected formation energy (kJ per mole of atoms): 60.66

---

A geometry-optimized LiCr2Sb structure, computed with PBE-GGA.

Cell lengths 9.3452, 9.3452, 9.3452 Å; angles 19.58, 19.58, 19.58 degrees
Closest atoms and distances in Å follow each position.
Positions (direct):
Cr (0.0021, 0.0021, 0.0021)  3 Sb 2.89, 3 Li 2.98, 6 Cr 3.18
Cr (0.4979, 0.4979, 0.4979)  3 Sb 2.89, 3 Li 2.98, 6 Cr 3.18
Li (0.2500, 0.2500, 0.2500)  6 Cr 2.98, 6 Li 3.18
Sb (0.7500, 0.7500, 0.7500)  6 Cr 2.89, 6 Sb 3.18

Output
Final energy (eV/atom): -5.65
Theoretical density (kg/m³): 4821
Fermi-level density of states (states/eV/f.u.): 2.5
Uncorrected formation energy (kJ per mole of atoms): 64.68

---

A geometry-optimized LiCrSb4 structure, computed with PBE-GGA.

Cell lengths 6.2257, 6.2257, 6.2257 Å; angles 60.00, 60.00, 60.00 degrees
Closest atoms and distances in Å follow each position.
Positions (direct):
Li (0.0000, 0.0000, 0.0000)  12 Sb 3.65, 4 Cr 3.81
Cr (0.7500, 0.7500, 0.7500)  12 Sb 3.65, 4 Li 3.81
Sb (0.8746, 0.3751, 0.3751)  6 Sb 3.11-3.12
Sb (0.3751, 0.3751, 0.8746)  6 Sb 3.11-3.12
Sb (0.3751, 0.8746, 0.3751)  6 Sb 3.11-3.12
Sb (0.3751, 0.3751, 0.3751)  6 Sb 3.11-3.12

Output
Final energy (eV/atom): -4.28
Theoretical density (kg/m³): 5313
Fermi-level density of states (states/eV/f.u.): 2.0
Uncorrected formation energy (kJ per mole of atoms): 37.60

---

A geometry-optimized LiCrSb2 structure, computed with PBE-GGA.

Cell lengths 4.5969, 4.5969, 3.9699 Å; angles 90.00, 90.00, 90.00 degrees
Closest atoms and distances in Å follow each position.
Positions (direct):
Cr (0.5000, 0.0000, 0.5000)  8 Sb 3.04, 4 Li 3.25
Li (0.0000, 0.5000, 0.5000)  8 Sb 3.04, 4 Cr 3.25
Sb (0.0000, 0.0000, 0.0000)  4 Cr 3.04, 4 Li 3.04, 4 Sb 3.25
Sb (0.5000, 0.5000, 0.0000)  4 Cr 3.04, 4 Li 3.04, 4 Sb 3.25

Output
Final energy (eV/atom): -4.95
Theoretical density (kg/m³): 5987
Excess energy over the best structure of this formula in the dataset (meV per atom): 51
Fermi-level density of states (states/eV/f.u.): 1.6
Uncorrected formation energy (kJ per mole of atoms): -0.63

---

A geometry-optimized LiCrSb2 structure, computed with PBE-GGA.

Cell lengths 3.3837, 3.3837, 7.8564 Å; angles 90.00, 90.00, 90.00 degrees
Closest atoms and distances in Å follow each position.
Positions (direct):
Cr (0.0000, 0.0000, 0.5342)  4 Li 2.81, 5 Sb 2.86-2.94
Li (0.5000, 0.5000, 0.7212)  4 Cr 2.81, 5 Sb 2.81-3.03
Sb (0.0000, 0.0000, 0.9087)  4 Li 2.81, 1 Cr 2.94
Sb (0.5000, 0.5000, 0.3359)  4 Cr 2.86, 1 Li 3.03

Output
Final energy (eV/atom): -4.84
Theoretical density (kg/m³): 5583
Excess energy over the best structure of this formula in the dataset (meV per atom): 159
Fermi-level density of states (states/eV/f.u.): 1.8
Uncorrected formation energy (kJ per mole of atoms): 9.78

---

A geometry-optimized LiCr2Sb2 structure, computed with PBE-GGA.

Cell lengths 7.6612, 7.6612, 3.1827 Å; angles 90.00, 90.00, 90.00 degrees
Closest atoms and distances in Å follow each position.
Positions (direct):
Sb (0.3386, 0.8386, 0.0000)  6 Cr 2.75-2.76, 2 Li 2.87
Sb (0.8386, 0.6614, 0.0000)  6 Cr 2.75-2.76, 2 Li 2.87
Sb (0.6614, 0.1614, 0.0000)  6 Cr 2.75-2.76, 2 Li 2.87
Sb (0.1614, 0.3386, 0.0000)  6 Cr 2.75-2.76, 2 Li 2.87
Li (0.0000, 0.0000, 0.0000)  4 Sb 2.87, 2 Li 3.18
Li (0.5000, 0.5000, 0.0000)  4 Sb 2.87, 2 Li 3.18
Cr (0.1322, 0.6322, 0.5000)  6 Sb 2.75-2.76, 1 Cr 2.86
Cr (0.6322, 0.8678, 0.5000)  6 Sb 2.75-2.76, 1 Cr 2.86
Cr (0.8678, 0.3678, 0.5000)  6 Sb 2.75-2.76, 1 Cr 2.86
Cr (0.3678, 0.1322, 0.5000)  6 Sb 2.75-2.76, 1 Cr 2.86

Output
Final energy (eV/atom): -5.74
Theoretical density (kg/m³): 6302
Excess energy over the best structure of this formula in the dataset (meV per atom): 41
Fermi-level density of states (states/eV/f.u.): 3.6
Uncorrected formation energy (kJ per mole of atoms): 14.04

---

A geometry-optimized LiCrSb2 structure, computed with PBE-GGA.

Cell lengths 5.0827, 5.0827, 5.0827 Å; angles 125.66, 125.66, 80.46 degrees
Closest atoms and distances in Å follow each position.
Positions (direct):
Cr (0.2500, 0.7500, 0.5000)  8 Sb 3.03, 4 Li 3.28
Li (0.7500, 0.2500, 0.5000)  8 Sb 3.03, 4 Cr 3.28
Sb (0.0000, 0.0000, 0.0000)  4 Cr 3.03, 4 Li 3.03, 4 Sb 3.28
Sb (0.5000, 0.5000, 0.0000)  4 Li 3.03, 4 Cr 3.03, 4 Sb 3.28

Output
Final energy (eV/atom): -4.97
Theoretical density (kg/m³): 6006
Excess energy over the best structure of this formula in the dataset (meV per atom): 36
Fermi-level density of states (states/eV/f.u.): 1.8
Uncorrected formation energy (kJ per mole of atoms): -2.05

---

A geometry-optimized LiCrSb2 structure, computed with PBE-GGA.

Cell lengths 5.1606, 5.1606, 3.2435 Å; angles 90.00, 90.00, 102.69 degrees
Closest atoms and distances in Å follow each position.
Positions (direct):
Cr (0.5000, 0.0000, 0.5000)  8 Sb 3.05, 2 Li 3.22, 2 Cr 3.24
Li (0.0000, 0.5000, 0.5000)  8 Sb 3.05, 2 Cr 3.22, 2 Li 3.24
Sb (0.0000, 0.0000, 0.0000)  4 Li 3.05, 4 Cr 3.05, 4 Sb 3.22-3.24
Sb (0.5000, 0.5000, 0.0000)  4 Cr 3.05, 4 Li 3.05, 4 Sb 3.22-3.24

Output
Final energy (eV/atom): -4.95
Theoretical density (kg/m³): 5960
Excess energy over the best structure of this formula in the dataset (meV per atom): 54
Fermi-level density of states (states/eV/f.u.): 1.4
Uncorrected formation energy (kJ per mole of atoms): -0.36

---

A geometry-optimized LiCr2Sb structure, computed with PBE-GGA.

Cell lengths 4.9457, 4.9457, 4.0001 Å; angles 66.08, 66.08, 38.72 degrees
Closest atoms and distances in Å follow each position.
Positions (direct):
Cr (0.0031, 0.0031, 0.9968)  4 Cr 2.59, 2 Li 2.65, 4 Sb 2.69-2.89
Cr (0.4969, 0.4969, 0.5032)  4 Cr 2.59, 2 Li 2.65, 4 Sb 2.69-2.89
Li (0.7500, 0.7500, 0.7500)  4 Sb 2.59, 4 Cr 2.65
Sb (0.2500, 0.2500, 0.2500)  4 Li 2.59, 8 Cr 2.69-2.89

Output
Final energy (eV/atom): -6.01
Theoretical density (kg/m³): 6992
Fermi-level density of states (states/eV/f.u.): 4.0
Uncorrected formation energy (kJ per mole of atoms): 29.56